Record 1
Crystalline BaGa2Mo at its relaxed geometry, computed with GGA-PBE.

Output
Crystal system = cubic
Total energy = -3.9106 eV/atom
V = 22.0 Å³ per atom
Magnetization = 2.66 Bohr magnetons per cell

abc: 4.992 4.992 4.992
angles: 60.00 60.00 60.00
Site moments in Bohr magnetons follow the coordinates.
Atoms (fractional coordinates):
Ba (0.750, 0.750, 0.750)  0.10
Ga (0.250, 0.250, 0.250)  -0.04
Ga (0.500, 0.500, 0.500)  0.00
Mo (0.000, 0.000, 0.000)  2.21

Record 2
Crystalline YTaCoSn at its relaxed geometry, computed with GGA-PBE.

Output
Relative energy among the computed polymorphs = 0.000 eV per atom
Crystal system = cubic
Total energy = -7.0309 eV/atom
V = 19.5 Å³ per atom
Magnetization = 3.00 Bohr magnetons per cell

abc: 4.793 4.793 4.793
angles: 60.00 60.00 60.00
Site moments in Bohr magnetons follow the coordinates.
Atoms (fractional coordinates):
Co (0.750, 0.750, 0.750)  0.65
Sn (0.000, 0.000, 0.000)  0.00
Ta (0.250, 0.250, 0.250)  1.44
Y (0.500, 0.500, 0.500)  0.29

Record 3
Crystalline RbTbZn at its relaxed geometry, computed with GGA-PBE.

Output
Crystal system = cubic
Total energy = -1.6679 eV/atom
V = 37.2 Å³ per atom
Magnetization = 0.03 Bohr magnetons per cell

abc: 5.404 5.404 5.404
angles: 60.00 60.00 60.00
Atoms (fractional coordinates):
Rb (0.000, 0.000, 0.000)
Tb (0.500, 0.500, 0.500)
Zn (0.750, 0.750, 0.750)

Record 4
Crystalline ZrGaNiPd at its relaxed geometry, computed with GGA-PBE.

Output
Crystal system = cubic
Total energy = -6.1800 eV/atom
V = 15.7 Å³ per atom
Magnetization = 0.00 Bohr magnetons per cell

abc: 4.463 4.463 4.463
angles: 60.00 60.00 60.00
Atoms (fractional coordinates):
Ga (0.000, 0.000, 0.000)
Ni (0.750, 0.750, 0.750)
Pd (0.250, 0.250, 0.250)
Zr (0.500, 0.500, 0.500)

Record 5
Crystalline Lu6MgPd at its relaxed geometry, computed with GGA-PBE.

Output
Crystal system = trigonal
Total energy = -4.3600 eV/atom
V = 26.7 Å³ per atom
Magnetization = 0.05 Bohr magnetons per cell

abc: 6.013 6.013 6.013
angles: 96.01 96.01 96.01
Atoms (fractional coordinates):
Lu (0.578, 0.763, 0.038)
Lu (0.962, 0.422, 0.237)
Lu (0.237, 0.962, 0.422)
Lu (0.763, 0.038, 0.578)
Lu (0.038, 0.578, 0.763)
Lu (0.422, 0.237, 0.962)
Mg (0.500, 0.500, 0.500)
Pd (0.000, 0.000, 0.000)

Record 6
Crystalline Gd2ErIn3CuIr2 at its relaxed geometry, computed with GGA-PBE.

Output
Crystal system = orthorhombic
Total energy = -5.4590 eV/atom
V = 21.3 Å³ per atom
Magnetization = 0.00 Bohr magnetons per cell

abc: 3.874 7.554 7.554
angles: 119.72 90.00 90.00
Atoms (fractional coordinates):
Cu (0.000, 0.999, 0.999)
Er (0.000, 0.588, 0.588)
Gd (0.000, 0.999, 0.412)
Gd (0.000, 0.412, 0.999)
In (0.500, 0.253, 0.253)
In (0.500, 0.999, 0.747)
In (0.500, 0.747, 0.999)
Ir (0.500, 0.666, 0.337)
Ir (0.500, 0.337, 0.666)

Record 7
Crystalline NpGeSb at its relaxed geometry, computed with GGA-PBE.

Output
Crystal system = cubic
Total energy = -7.0147 eV/atom
V = 26.2 Å³ per atom
Magnetization = 4.36 Bohr magnetons per cell

abc: 4.808 4.808 4.808
angles: 60.00 60.00 60.00
Atoms (fractional coordinates):
Ge (0.000, 0.000, 0.000)
Np (0.250, 0.250, 0.250)
Sb (0.750, 0.750, 0.750)

Record 8
Crystalline Nd3Tm3CoTe2 at its relaxed geometry, computed with GGA-PBE.

Output
Relative energy among the computed polymorphs = 0.140 eV per atom
Crystal system = hexagonal
Total energy = -5.1415 eV/atom
V = 26.9 Å³ per atom
Magnetization = 0.30 Bohr magnetons per cell

abc: 8.533 8.533 3.846
angles: 90.00 90.00 120.00
Atoms (fractional coordinates):
Co (0.000, 0.000, 0.000)
Nd (0.242, 0.000, 0.500)
Nd (0.000, 0.242, 0.500)
Nd (0.758, 0.758, 0.500)
Te (0.667, 0.333, 0.500)
Te (0.333, 0.667, 0.500)
Tm (0.595, 0.000, 0.000)
Tm (0.405, 0.405, 0.000)
Tm (0.000, 0.595, 0.000)